A plane-wave DFT calculation with GGA+U was carried out for crystalline MoPO4 at its relaxed geometry.

Computed properties:
Magnetization, μB per formula unit: 3.00
Energy, eV per atom: -7.441
Density of states at the Fermi level, states/eV/atom: 0.000

a = 4.8824 Å, b = 4.8824 Å, c = 6.8556 Å
α = 90.00°, β = 90.00°, γ = 114.03°
Positions (direct):
Mo1 0.0000 0.0000 0.0000
Mo2 0.0000 0.0000 0.5000
P1 0.3513 0.6487 0.7500
P2 0.6487 0.3513 0.2500
O1 0.2238 0.2925 0.7500
O2 0.2540 0.7460 0.5613
O3 0.2540 0.7460 0.9387
O4 0.2925 0.2238 0.2500
O5 0.7075 0.7762 0.7500
O6 0.7460 0.2540 0.0613
O7 0.7460 0.2540 0.4387
O8 0.7762 0.7075 0.2500